VASP calculation (PBE-GGA) on a geometry-optimized RhPbF2 structure.

The space group is R-3m (No. 166, hexagonal axes) and the conventional cell measures 3.1097, 3.1097 and 24.1649 Å, with angles of 90.00, 90.00 and 120.00 degrees. Symmetry generates all atoms from Rh at (0.0000, 0.0000, 0.0000), Pb at (0.0000, 0.0000, 0.5000) and F at (0.0000, 0.0000, 0.0839).

For the distance to the lowest polymorph of the same formula, the calculation gives 32 meV/atom. For the total magnetization, the calculation gives 0.205 μB per atom. The total energy comes out at -4.624 eV/atom. For the uncorrected formation energy, the calculation gives -3.69 eV per formula unit.


VASP calculation (PBE-GGA) on a geometry-optimized SrLiTl2Hg4 structure.

The space group is R-3m (No. 166, hexagonal axes) and the conventional cell measures 5.3407, 5.3407 and 25.7771 Å, with angles of 90.00, 90.00 and 120.00 degrees. Symmetry generates all atoms from Sr at (0.0000, 0.0000, 0.0000), Li at (0.0000, 0.0000, 0.5000), Tl at (0.0000, 0.0000, 0.2561), Hg at (0.0000, 0.0000, 0.1344) and Hg at (0.0000, 0.0000, 0.3887).

For the total magnetization, the calculation gives 0.000 μB per atom. The total energy comes out at -1.449 eV/atom. The calculated formation energy comes out at -0.257 eV/atom.


VASP calculation (PBE-GGA) on a geometry-optimized SrLiCa2Hg structure.

The space group is P4/mmm (No. 123) and the conventional cell measures 6.027, 6.027 and 5.256 Å, with angles of 90.00, 90.00 and 90.00 degrees. Symmetry generates all atoms from Sr at (0.000, 0.000, 0.000), Li at (0.500, 0.500, 0.000), Ca at (0.000, 0.500, 0.500) and Hg at (0.500, 0.500, 0.500).

For the total magnetization, the calculation gives 0.000 μB per atom. The total energy comes out at -1.681 eV/atom. The calculated formation energy comes out at -0.101 eV/atom.


Copy entry 1 word for word.
VASP calculation (PBE-GGA) on a geometry-optimized RhPbF2 structure.

The space group is R-3m (No. 166, hexagonal axes) and the conventional cell measures 3.1097, 3.1097 and 24.1649 Å, with angles of 90.00, 90.00 and 120.00 degrees. Symmetry generates all atoms from Rh at (0.0000, 0.0000, 0.0000), Pb at (0.0000, 0.0000, 0.5000) and F at (0.0000, 0.0000, 0.0839).

For the distance to the lowest polymorph of the same formula, the calculation gives 32 meV/atom. For the total magnetization, the calculation gives 0.205 μB per atom. The total energy comes out at -4.624 eV/atom. For the uncorrected formation energy, the calculation gives -3.69 eV per formula unit.